First-principles (PBE with a Hubbard U) data for a relaxed structure of NiAgN2F, as listed in the Alexandria database.

Computed properties:
SG = No. 123
total moment = 2.39 μB per formula unit
D(E_F) = 5.01 states/eV per cell
uncorrected energy = -3.1227 eV per atom
distance to the lowest polymorph of the same formula = 3.85 eV/f.u.

a = 4.053 Å, b = 4.053 Å, c = 4.204 Å
α = 90.00°, β = 90.00°, γ = 90.00°
Site moments in Bohr magnetons follow the coordinates.
Positions (direct):
1 N 0.000 0.500 0.000  0.21
2 Ni 0.500 0.500 0.500  1.64
3 Ag 0.000 0.000 0.000  0.08
4 F 0.000 0.000 0.500  0.03
5 N 0.500 0.000 0.000  0.21